Density functional theory data (SCAN) for a crystal of NaTeI3 relaxed with PBEsol.

The structure in POSCAR format:
```
NaTeI3
1.0
5.594 0.000 0.000
0.000 5.594 0.000
0.000 0.000 5.594
Na Te I
1 1 3
Direct
0.000 0.000 0.000
0.500 0.500 0.500
0.000 0.000 0.500
0.000 0.500 0.000
0.500 0.000 0.000
```

Computed properties:
Symmetry: Pm-3m, No. 221
Total magnetic moment (μB/f.u.): 0.004
Formation energy without anion corrections (eV/atom): 0.1231